No. 1
{
  "formula": "TiHgS2N",
  "functional": "PBE-GGA",
  "state": "relaxed",
  "raw_formation_energy_ev_per_atom": 1.298,
  "lattice_angstrom": [[4.9798, 0.0000, 0.0000], [0.0000, 4.9798, 0.0000], [0.0000, 0.0000, 4.0292]],
  "species": ["Ti", "Hg", "S", "S", "N"],
  "fractional_positions": [[0.0000, 0.0000, 0.0000], [0.5000, 0.5000, 0.5000], [0.0000, 0.5000, 0.5000], [0.5000, 0.0000, 0.5000], [0.5000, 0.5000, 0.0000]]
}


No. 2
{
  "formula": "TbEuPt",
  "functional": "PBE-GGA",
  "state": "relaxed",
  "formation_enthalpy_0k_ev_per_atom": -0.75,
  "lattice_angstrom": [[7.0071, 0.0000, 0.0000], [0.0000, 7.0071, 0.0000], [0.0000, 0.0000, 7.0071]],
  "species": ["Tb", "Tb", "Tb", "Tb", "Eu", "Eu", "Eu", "Eu", "Pt", "Pt", "Pt", "Pt"],
  "fractional_positions": [[0.0000, 0.0000, 0.0000], [0.0000, 0.5000, 0.5000], [0.5000, 0.0000, 0.5000], [0.5000, 0.5000, 0.0000], [0.0000, 0.0000, 0.5000], [0.0000, 0.5000, 0.0000], [0.5000, 0.0000, 0.0000], [0.5000, 0.5000, 0.5000], [0.2500, 0.2500, 0.7500], [0.2500, 0.7500, 0.2500], [0.7500, 0.2500, 0.2500], [0.7500, 0.7500, 0.7500]]
}


Quick rundown of Fermi-level density of states, same order as above: 9.757 10.642 states/eV/cell
Quick rundown of E_tot, same order as above: -3.658 -7.730 eV/atom